[1]
A relaxed MnAl2Co crystal. Source: the Alexandria database, functional GGA-PBEsol.

Output
E_tot = -6.18 eV/atom
ΔE_f = 0.237 eV per atom
crystal system = tetragonal

Cell: 5.279 5.279 5.279 Å, 103.86 103.86 121.39°
Positions (direct):
Mn 0.000 0.000 0.000
Mn 0.750 0.250 0.500
Al 0.146 0.125 0.521
Al 0.375 0.854 0.979
Al 0.604 0.625 0.479
Al 0.875 0.396 0.021
Co 0.250 0.750 0.500
Co 0.500 0.500 0.000

=====

[2]
A relaxed YTlCd2 crystal. Source: the Alexandria database, functional GGA-PBEsol.

Output
E_tot = -3.21 eV/atom
ΔE_f = -0.248 eV per atom
ΔE to the lowest computed polymorph = 0.075 eV/atom
crystal system = tetragonal

Cell: 5.619 5.619 5.619 Å, 132.50 132.50 69.44°
Positions (direct):
Y 0.000 0.000 0.000
Tl 0.500 0.500 0.000
Cd 0.250 0.750 0.500
Cd 0.750 0.250 0.500